VASP calculation (PBE) on a relaxed structure of DySi4Rh2.

a b c (Å): 8.9004 7.0022 5.5186
angles (deg): 90.00 127.84 90.00
Space group C2/m (No. 12)
Asymmetric unit:
Dy1 0.0000 0.0000 0.0000 [2 per cell]
Si1 0.0000 0.2369 0.5000 [4 per cell]
Si2 0.2371 0.0000 0.7388 [4 per cell]
Rh1 0.9995 0.5000 0.2490 [4 per cell]

Output
total moment: 0.00 μB/f.u.
E: -0.23351 Ha/atom
crystal system: monoclinic